# CaZnRe2

A geometry-optimized CaZnRe2 structure (PBE, the Alexandria database).

Energy relative to the elements: 562.2 meV per atom
Total magnetic moment: 0.000 μB per atom
Density of states at the Fermi level: 0.547 states/eV/atom

a = 3.3120 Å, b = 4.2798 Å, c = 9.4086 Å
α = 90.00°, β = 90.00°, γ = 90.00°
Space group Cmmm (No. 65)
Symmetry-distinct sites (fractional):
Ca: 0.0000 0.0000 0.0000
Zn: 0.0000 0.0000 0.5000
Re: 0.0000 0.5000 0.2734

---

# Al2MoOs

A geometry-optimized Al2MoOs structure (PBE, the Alexandria database).

Energy relative to the elements: -203.6 meV per atom
Total magnetic moment: 0.000 μB per atom
Density of states at the Fermi level: 0.523 states/eV/atom
Relative energy among the computed polymorphs: 46.4 kJ/mol of formula units

a = 3.0165 Å, b = 4.3202 Å, c = 9.0744 Å
α = 90.00°, β = 90.00°, γ = 90.00°
Space group Imm2 (No. 44)
Symmetry-distinct sites (fractional):
Al: 0.0000 0.0000 0.0000
Al: 0.0000 0.5000 0.2265
Mo: 0.0000 0.5000 0.7516
Os: 0.0000 0.0000 0.4921

---

# MnPb

A geometry-optimized MnPb structure (PBE, the Alexandria database).

Energy relative to the elements: 532.8 meV per atom
Total magnetic moment: 1.834 μB per atom
Density of states at the Fermi level: 0.581 states/eV/atom

a = 3.2813 Å, b = 5.6953 Å, c = 4.7826 Å
α = 90.00°, β = 90.00°, γ = 90.00°
Space group Pmmn (No. 59, origin choice 2)
Symmetry-distinct sites (fractional):
Mn: 0.2500 0.2500 0.1400
Pb: 0.2500 0.7500 0.3496

---

Copy entry 1 word for word.
# CaZnRe2

A geometry-optimized CaZnRe2 structure (PBE, the Alexandria database).

Energy relative to the elements: 562.2 meV per atom
Total magnetic moment: 0.000 μB per atom
Density of states at the Fermi level: 0.547 states/eV/atom

a = 3.3120 Å, b = 4.2798 Å, c = 9.4086 Å
α = 90.00°, β = 90.00°, γ = 90.00°
Space group Cmmm (No. 65)
Symmetry-distinct sites (fractional):
Ca: 0.0000 0.0000 0.0000
Zn: 0.0000 0.0000 0.5000
Re: 0.0000 0.5000 0.2734